No. 1
A plane-wave DFT calculation with meta-GGA SCAN was carried out for Zn2CoPb at its PBEsol-relaxed geometry.

Cell lengths 4.4669, 4.4669, 4.4669 Å; angles 60.00, 60.00, 60.00 degrees
Last column: nearest neighbours and their distance in Å.
Element x y z (fractional)
Zn: 0.0000 0.0000 0.0000  4 Zn 2.74, 4 Pb 2.74
Zn: 0.7500 0.7500 0.7500  4 Co 2.74, 4 Zn 2.74
Pb: 0.2500 0.2500 0.2500  4 Co 2.74, 4 Zn 2.74
Co: 0.5000 0.5000 0.5000  4 Pb 2.74, 4 Zn 2.74

Results
Space group: F-43m
Energy of formation in meV/atom: 572.4
Size of the total moment in μB/cell: 0.41
Volume in Å³/cell: 63



No. 2
A plane-wave DFT calculation with meta-GGA SCAN was carried out for Zr2CoPb at its PBEsol-relaxed geometry.

Cell lengths 3.2819, 4.6450, 5.7996 Å; angles 113.61, 106.44, 90.00 degrees
Last column: nearest neighbours and their distance in Å.
Element x y z (fractional)
Zr: 0.7935 0.2935 0.5870  2 Co 2.57
Zr: 0.0064 0.0064 0.0127  4 Co 2.85, 2 Pb 3.11, 2 Zr 3.17
Co: 0.4892 0.4892 0.9785  6 Zr 2.57-2.85, 2 Pb 2.78
Pb: 0.2109 0.7109 0.4217  2 Co 2.78, 6 Zr 2.96-3.11

Results
Space group: Imm2
Energy of formation in meV/atom: -100.0
Size of the total moment in μB/cell: 0.00
Volume in Å³/cell: 77



No. 3
A plane-wave DFT calculation with meta-GGA SCAN was carried out for ZrCoPb2 at its PBEsol-relaxed geometry.

Cell lengths 3.2053, 5.3745, 5.6644 Å; angles 118.32, 106.44, 90.00 degrees
Last column: nearest neighbours and their distance in Å.
Element x y z (fractional)
Pb: 0.2845 0.2845 0.5691  2 Co 2.59
Pb: 0.7155 0.7155 0.4309  2 Co 2.59
Zr: 0.5000 0.0000 0.0000  8 Pb 3.13-3.37, 4 Co 3.13, 2 Zr 3.21
Co: 0.0000 0.5000 0.0000  4 Pb 2.59

Results
Space group: Immm
Energy of formation in meV/atom: 262.5
Size of the total moment in μB/cell: 0.00
Volume in Å³/cell: 81



No. 4
A plane-wave DFT calculation with meta-GGA SCAN was carried out for ZrCo2Pb at its PBEsol-relaxed geometry.

Cell lengths 3.5448, 3.8664, 4.9977 Å; angles 90.00, 110.77, 90.00 degrees
Last column: nearest neighbours and their distance in Å.
Element x y z (fractional)
Zr: 0.7644 0.0000 0.5288  7 Co 2.64-2.72
Pb: 0.4784 0.5000 0.9568  7 Co 2.58-2.74
Co: 0.2020 0.5000 0.4040  2 Co 2.37, 1 Pb 2.58
Co: 0.0552 0.0000 0.1104  2 Co 2.37, 2 Zr 2.64

Results
Space group: Amm2
Energy of formation in meV/atom: 93.1
Size of the total moment in μB/cell: 0.00
Volume in Å³/cell: 64



No. 5
A plane-wave DFT calculation with meta-GGA SCAN was carried out for Rb3CoPd at its PBEsol-relaxed geometry.

Cell lengths 6.2105, 6.2105, 6.2105 Å; angles 90.00, 90.00, 90.00 degrees
Last column: nearest neighbours and their distance in Å.
Element x y z (fractional)
Co: 0.5000 0.5000 0.5000  12 Rb 4.39
Rb: 0.5000 0.0000 0.0000  2 Pd 3.11
Rb: 0.0000 0.0000 0.5000  2 Pd 3.11
Rb: 0.0000 0.5000 0.0000  2 Pd 3.11
Pd: 0.0000 0.0000 0.0000  6 Rb 3.11

Results
Space group: Pm-3m
Energy of formation in meV/atom: 779.6
Size of the total moment in μB/cell: 2.17
Volume in Å³/cell: 240



No. 6
A plane-wave DFT calculation with meta-GGA SCAN was carried out for CoSb2Pd at its PBEsol-relaxed geometry.

Cell lengths 6.1889, 6.1889, 6.4691 Å; angles 118.58, 118.58, 90.00 degrees
Last column: nearest neighbours and their distance in Å.
Element x y z (fractional)
Co: 0.5000 0.5000 0.0000  4 Sb 2.40
Co: 0.7500 0.2500 0.5000  4 Sb 2.40
Sb: 0.3996 0.8750 0.2500  2 Co 2.40, 2 Pd 2.59
Sb: 0.8504 0.3750 0.2500  2 Co 2.40, 2 Pd 2.59
Sb: 0.1250 0.1496 0.7500  2 Co 2.40, 2 Pd 2.59
Sb: 0.6250 0.6004 0.7500  2 Co 2.40, 2 Pd 2.59
Pd: 0.0000 0.0000 0.0000  4 Sb 2.59
Pd: 0.2500 0.7500 0.5000  4 Sb 2.59

Results
Space group: I-42d
Energy relative to the elements, uncorrected in meV per atom: 179.2
Size of the total moment in μB/cell: 0.00
Volume in Å³/cell: 182



No. 7
A plane-wave DFT calculation with meta-GGA SCAN was carried out for CoPd2Se2 at its PBEsol-relaxed geometry.

Cell lengths 4.9453, 5.9177, 6.4899 Å; angles 117.12, 112.40, 90.00 degrees
Last column: nearest neighbours and their distance in Å.
Element x y z (fractional)
Pd: 0.8877 0.0121 0.7755  4 Se 2.47-2.68, 1 Pd 2.77
Pd: 0.6123 0.2366 0.2245  4 Se 2.47-2.68, 1 Pd 2.77
Pd: 0.1123 0.9879 0.2245  4 Se 2.47-2.68, 1 Pd 2.77
Pd: 0.3877 0.7634 0.7755  4 Se 2.47-2.68, 1 Pd 2.77
Se: 0.8570 0.5666 0.7140  2 Co 2.30, 1 Pd 2.47
Se: 0.6430 0.8527 0.2860  2 Co 2.30, 1 Pd 2.47
Se: 0.3570 0.1473 0.7140  2 Co 2.30, 1 Pd 2.47
Se: 0.1430 0.4334 0.2860  2 Co 2.30, 1 Pd 2.47
Co: 0.7500 0.5000 0.0000  4 Se 2.30, 2 Co 2.47
Co: 0.2500 0.5000 0.0000  4 Se 2.30, 2 Co 2.47

Results
Space group: Ibam
Energy relative to the elements, uncorrected in meV per atom: -243.0
Size of the total moment in μB/cell: 0.00
Volume in Å³/cell: 153



No. 8
A plane-wave DFT calculation with meta-GGA SCAN was carried out for CoPdSe3 at its PBEsol-relaxed geometry.

Cell lengths 4.5479, 4.5479, 4.5479 Å; angles 90.00, 90.00, 90.00 degrees
Last column: nearest neighbours and their distance in Å.
Element x y z (fractional)
Se: 0.0000 0.0000 0.5000  2 Co 2.27
Se: 0.0000 0.5000 0.0000  2 Co 2.27
Se: 0.5000 0.0000 0.0000  2 Co 2.27
Pd: 0.5000 0.5000 0.5000  12 Se 3.22
Co: 0.0000 0.0000 0.0000  6 Se 2.27

Results
Space group: Pm-3m
Energy relative to the elements, uncorrected in meV per atom: 569.4
Size of the total moment in μB/cell: 1.93
Volume in Å³/cell: 94